Density functional theory data (PBE+U) for crystalline Li4Cr5O10 at its relaxed geometry.

The total magnetization is 28.00 μB per cell. For the electronic total energy, the calculation gives -6.96 eV/atom. The symmetry is P-1 (2).

Lattice parameters (Å, degrees): 6.627 6.655 8.922 85.53 81.39 72.22
Fractional coordinates of all 38 atoms:
Li1 0.041 0.110 0.348
Li2 0.148 0.309 0.047
Li3 0.355 0.689 0.459
Li4 0.453 0.892 0.153
Li5 0.547 0.108 0.847
Li6 0.645 0.311 0.541
Li7 0.852 0.691 0.953
Li8 0.959 0.890 0.652
Cr1 0.000 0.500 0.500
Cr2 0.096 0.697 0.201
Cr3 0.198 0.896 0.899
Cr4 0.302 0.105 0.600
Cr5 0.404 0.300 0.299
Cr6 0.500 0.500 0.000
Cr7 0.596 0.700 0.701
Cr8 0.698 0.895 0.400
Cr9 0.802 0.104 0.101
Cr10 0.904 0.303 0.799
O1 0.017 0.787 0.417
O2 0.090 0.417 0.280
O3 0.117 0.983 0.121
O4 0.178 0.612 0.991
O5 0.208 0.185 0.820
O6 0.282 0.821 0.680
O7 0.318 0.389 0.511
O8 0.383 0.011 0.380
O9 0.398 0.596 0.216
O10 0.487 0.212 0.079
O11 0.513 0.788 0.921
O12 0.602 0.404 0.784
O13 0.617 0.989 0.620
O14 0.682 0.611 0.489
O15 0.718 0.179 0.320
O16 0.792 0.815 0.180
O17 0.822 0.388 0.009
O18 0.883 0.017 0.879
O19 0.910 0.583 0.720
O20 0.983 0.213 0.583